Record 1
# CaTlF2, relaxed, DFT PBE
# Energy above the lowest structure with this stoichiometry = 13.904 kcal/mol of atoms
# ΔE_f (raw) = -8.62 eV per formula unit
data_CaTlF2
_chemical_formula_sum 'Ca3 Tl3 F6'
_symmetry_space_group_name_H-M 'R -3 m'
_symmetry_Int_Tables_number 166
_symmetry_space_group_name_Hall '-R 3 2"'
_cell_length_a 4.2380
_cell_length_b 4.2380
_cell_length_c 21.5473
_cell_angle_alpha 90.00
_cell_angle_beta 90.00
_cell_angle_gamma 120.00
loop_
_atom_site_label
_atom_site_fract_x
_atom_site_fract_y
_atom_site_fract_z
_atom_site_occupancy
Ca1 0.0000 0.0000 0.0000 1
Tl1 0.0000 0.0000 0.5000 1
F1 0.0000 0.0000 0.0986 1

Record 2
# ZrBSbOs2, relaxed, DFT PBE
# ΔE_f (raw) = 0.39 eV per formula unit
data_ZrBSbOs2
_chemical_formula_sum 'Zr1 B1 Sb1 Os2'
_symmetry_space_group_name_H-M 'P 4/m m m'
_symmetry_Int_Tables_number 123
_symmetry_space_group_name_Hall '-P 4 2'
_cell_length_a 4.158
_cell_length_b 4.158
_cell_length_c 4.699
_cell_angle_alpha 90.00
_cell_angle_beta 90.00
_cell_angle_gamma 90.00
loop_
_atom_site_label
_atom_site_fract_x
_atom_site_fract_y
_atom_site_fract_z
_atom_site_occupancy
Zr1 0.000 0.000 0.000 1
B1 0.000 0.000 0.500 1
Sb1 0.500 0.500 0.000 1
Os1 0.000 0.500 0.500 1

Record 3
# SrLiHoAu, relaxed, DFT PBE
# ΔH_f (0 K) = -1.19 eV/f.u.
data_SrLiHoAu
_chemical_formula_sum 'Sr4 Li4 Ho4 Au4'
_symmetry_space_group_name_H-M 'F -4 3 m'
_symmetry_Int_Tables_number 216
_symmetry_space_group_name_Hall 'F -4 2 3'
_cell_length_a 7.472
_cell_length_b 7.472
_cell_length_c 7.472
_cell_angle_alpha 90.00
_cell_angle_beta 90.00
_cell_angle_gamma 90.00
loop_
_atom_site_label
_atom_site_fract_x
_atom_site_fract_y
_atom_site_fract_z
_atom_site_occupancy
Sr1 0.000 0.000 0.000 1
Li1 0.250 0.250 0.750 1
Ho1 0.000 0.000 0.500 1
Au1 0.250 0.250 0.250 1

Record 4
# KCuNiI2, relaxed, DFT PBE
# Energy above the lowest structure with this stoichiometry = 27.573 kcal/mol of atoms
# ΔE_f (raw) = 5.19 eV per formula unit
data_KCuNiI2
_chemical_formula_sum 'K1 Cu1 Ni1 I2'
_symmetry_space_group_name_H-M 'P 4/m m m'
_symmetry_Int_Tables_number 123
_symmetry_space_group_name_Hall '-P 4 2'
_cell_length_a 6.323
_cell_length_b 6.323
_cell_length_c 5.384
_cell_angle_alpha 90.00
_cell_angle_beta 90.00
_cell_angle_gamma 90.00
loop_
_atom_site_label
_atom_site_fract_x
_atom_site_fract_y
_atom_site_fract_z
_atom_site_occupancy
K1 0.000 0.000 0.000 1
Cu1 0.000 0.000 0.500 1
Ni1 0.500 0.500 0.500 1
I1 0.000 0.500 0.000 1

Record 5
# Mg12SnHg3, relaxed, DFT PBE
# ΔH_f (0 K) = -2.16 eV/f.u.
data_Mg12SnHg3
_chemical_formula_sum 'Mg12 Sn1 Hg3'
_symmetry_space_group_name_H-M 'P 4/m m m'
_symmetry_Int_Tables_number 123
_symmetry_space_group_name_Hall '-P 4 2'
_cell_length_a 4.475
_cell_length_b 4.475
_cell_length_c 17.378
_cell_angle_alpha 90.00
_cell_angle_beta 90.00
_cell_angle_gamma 90.00
loop_
_atom_site_label
_atom_site_fract_x
_atom_site_fract_y
_atom_site_fract_z
_atom_site_occupancy
Mg1 0.000 0.000 0.000 1
Mg2 0.000 0.000 0.247 1
Mg3 0.000 0.000 0.500 1
Mg4 0.000 0.500 0.123 1
Mg5 0.000 0.500 0.370 1
Sn1 0.500 0.500 0.500 1
Hg1 0.500 0.500 0.000 1
Hg2 0.500 0.500 0.246 1

Record 6
# NbZnPt, relaxed, DFT PBE
# ΔH_f (0 K) = -1.16 eV/f.u.
data_NbZnPt
_chemical_formula_sum 'Nb4 Zn4 Pt4'
_symmetry_space_group_name_H-M 'C 1 m 1'
_symmetry_Int_Tables_number 8
_symmetry_space_group_name_Hall 'C -2y'
_cell_length_a 14.631
_cell_length_b 2.829
_cell_length_c 4.934
_cell_angle_alpha 90.00
_cell_angle_beta 109.62
_cell_angle_gamma 90.00
loop_
_atom_site_label
_atom_site_fract_x
_atom_site_fract_y
_atom_site_fract_z
_atom_site_occupancy
Nb1 0.000 0.000 0.000 1
Nb2 0.170 0.000 0.500 1
Zn1 0.173 0.500 0.012 1
Zn2 0.341 0.500 0.469 1
Pt1 0.008 0.500 0.513 1
Pt2 0.332 0.000 0.977 1

Record 7
# Cs2HgWCl6, relaxed, DFT PBE
# ΔE_f (raw) = -12.01 eV per formula unit
data_Cs2HgWCl6
_chemical_formula_sum 'Cs8 Hg4 W4 Cl24'
_symmetry_space_group_name_H-M 'F m -3 m'
_symmetry_Int_Tables_number 225
_symmetry_space_group_name_Hall '-F 4 2 3'
_cell_length_a 11.420
_cell_length_b 11.420
_cell_length_c 11.420
_cell_angle_alpha 90.00
_cell_angle_beta 90.00
_cell_angle_gamma 90.00
loop_
_atom_site_label
_atom_site_fract_x
_atom_site_fract_y
_atom_site_fract_z
_atom_site_occupancy
Cs1 0.250 0.250 0.250 1
Hg1 0.000 0.000 0.000 1
W1 0.000 0.000 0.500 1
Cl1 0.000 0.000 0.290 1

Record 8
# Mn2AsSe, relaxed, DFT PBE
# ΔE_f (raw) = -0.42 eV per formula unit
data_Mn2AsSe
_chemical_formula_sum 'Mn4 As2 Se2'
_symmetry_space_group_name_H-M 'A m m 2'
_symmetry_Int_Tables_number 38
_symmetry_space_group_name_Hall 'A 2 -2'
_cell_length_a 4.758
_cell_length_b 4.943
_cell_length_c 6.603
_cell_angle_alpha 90.00
_cell_angle_beta 90.00
_cell_angle_gamma 90.00
loop_
_atom_site_label
_atom_site_fract_x
_atom_site_fract_y
_atom_site_fract_z
_atom_site_occupancy
Mn1 0.000 0.000 0.000 1
Mn2 0.500 0.000 0.255 1
As1 0.500 0.000 0.875 1
Se1 0.000 0.000 0.379 1

Record 9
# Rb2PbCl5, relaxed, DFT PBE
# ΔE_f (raw) = -11.10 eV per formula unit
data_Rb2PbCl5
_chemical_formula_sum 'Rb8 Pb4 Cl20'
_symmetry_space_group_name_H-M 'P n m a'
_symmetry_Int_Tables_number 62
_symmetry_space_group_name_Hall '-P 2ac 2n'
_cell_length_a 13.150
_cell_length_b 9.344
_cell_length_c 8.270
_cell_angle_alpha 90.00
_cell_angle_beta 90.00
_cell_angle_gamma 90.00
loop_
_atom_site_label
_atom_site_fract_x
_atom_site_fract_y
_atom_site_fract_z
_atom_site_occupancy
Rb1 0.167 0.007 0.079 1
Pb1 0.000 0.250 0.552 1
Cl1 0.016 0.250 0.898 1
Cl2 0.061 0.548 0.676 1
Cl3 0.187 0.250 0.401 1
Cl4 0.202 0.750 0.360 1

Record 10
# LaTm5In6, relaxed, DFT PBE
# ΔH_f (0 K) = -5.20 eV/f.u.
data_LaTm5In6
_chemical_formula_sum 'La2 Tm10 In12'
_symmetry_space_group_name_H-M 'I m m m'
_symmetry_Int_Tables_number 71
_symmetry_space_group_name_Hall '-I 2 2'
_cell_length_a 5.343
_cell_length_b 7.425
_cell_length_c 16.062
_cell_angle_alpha 90.00
_cell_angle_beta 90.00
_cell_angle_gamma 90.00
loop_
_atom_site_label
_atom_site_fract_x
_atom_site_fract_y
_atom_site_fract_z
_atom_site_occupancy
La1 0.000 0.000 0.000 1
Tm1 0.000 0.000 0.332 1
Tm2 0.000 0.500 0.000 1
Tm3 0.000 0.500 0.339 1
In1 0.000 0.232 0.500 1
In2 0.000 0.259 0.172 1

Record 11
# Cs3Ca2US6, relaxed, DFT PBE
# ΔE_f (raw) = -19.30 eV per formula unit
data_Cs3Ca2US6
_chemical_formula_sum 'Cs6 Ca4 U2 S12'
_symmetry_space_group_name_H-M 'C 1 2/m 1'
_symmetry_Int_Tables_number 12
_symmetry_space_group_name_Hall '-C 2y'
_cell_length_a 7.224
_cell_length_b 12.501
_cell_length_c 8.367
_cell_angle_alpha 90.00
_cell_angle_beta 106.61
_cell_angle_gamma 90.00
loop_
_atom_site_label
_atom_site_fract_x
_atom_site_fract_y
_atom_site_fract_z
_atom_site_occupancy
Cs1 0.000 0.000 0.000 1
Cs2 0.000 0.327 0.000 1
Ca1 0.000 0.166 0.500 1
U1 0.000 0.500 0.500 1
S1 0.215 0.346 0.681 1
S2 0.246 0.500 0.316 1

Record 12
# HfIrI2N, relaxed, DFT PBE
# Energy above the lowest structure with this stoichiometry = 2.906 kcal/mol of atoms
# ΔE_f (raw) = 3.93 eV per formula unit
data_HfIrI2N
_chemical_formula_sum 'Hf1 Ir1 I2 N1'
_symmetry_space_group_name_H-M 'P 4/m m m'
_symmetry_Int_Tables_number 123
_symmetry_space_group_name_Hall '-P 4 2'
_cell_length_a 5.765
_cell_length_b 5.765
_cell_length_c 3.899
_cell_angle_alpha 90.00
_cell_angle_beta 90.00
_cell_angle_gamma 90.00
loop_
_atom_site_label
_atom_site_fract_x
_atom_site_fract_y
_atom_site_fract_z
_atom_site_occupancy
Hf1 0.000 0.000 0.000 1
Ir1 0.500 0.500 0.500 1
I1 0.000 0.500 0.000 1
N1 0.000 0.000 0.500 1

Record 13
# AlReAg2, relaxed, DFT PBE
# ΔH_f (0 K) = 2.64 eV/f.u.
data_AlReAg2
_chemical_formula_sum 'Al4 Re4 Ag8'
_symmetry_space_group_name_H-M 'I -4 2 d'
_symmetry_Int_Tables_number 122
_symmetry_space_group_name_Hall 'I -4 2bw'
_cell_length_a 3.717
_cell_length_b 3.717
_cell_length_c 20.179
_cell_angle_alpha 90.00
_cell_angle_beta 90.00
_cell_angle_gamma 90.00
loop_
_atom_site_label
_atom_site_fract_x
_atom_site_fract_y
_atom_site_fract_z
_atom_site_occupancy
Al1 0.000 0.000 0.000 1
Re1 0.000 0.000 0.500 1
Ag1 0.249 0.250 0.625 1

Record 14
# SrLiBr3, relaxed, DFT PBE
# Energy above the lowest structure with this stoichiometry = 0.000 kcal/mol of atoms
# ΔE_f (raw) = -9.34 eV per formula unit
data_SrLiBr3
_chemical_formula_sum 'Sr8 Li8 Br24'
_symmetry_space_group_name_H-M 'C 1 2/c 1'
_symmetry_Int_Tables_number 15
_symmetry_space_group_name_Hall '-C 2yc'
_cell_length_a 14.543
_cell_length_b 11.899
_cell_length_c 7.734
_cell_angle_alpha 90.00
_cell_angle_beta 105.81
_cell_angle_gamma 90.00
loop_
_atom_site_label
_atom_site_fract_x
_atom_site_fract_y
_atom_site_fract_z
_atom_site_occupancy
Sr1 0.000 0.094 0.250 1
Sr2 0.000 0.343 0.750 1
Li1 0.204 0.410 0.258 1
Br1 0.113 0.107 0.645 1
Br2 0.126 0.449 0.510 1
Br3 0.131 0.236 0.099 1

Record 15
AcZnNi2H8 | PBE | relaxed

The structure in CIF format:
```
data_AcZnNi2H8
_chemical_formula_sum 'Ac3 Zn3 Ni6 H24'
_symmetry_space_group_name_H-M 'R -3'
_symmetry_Int_Tables_number 148
_symmetry_space_group_name_Hall '-R 3'
_cell_length_a 4.6607
_cell_length_b 4.6607
_cell_length_c 17.5649
_cell_angle_alpha 90.00
_cell_angle_beta 90.00
_cell_angle_gamma 120.00
loop_
_atom_site_label
_atom_site_fract_x
_atom_site_fract_y
_atom_site_fract_z
_atom_site_occupancy
Ac1 0.0000 0.0000 0.0000 1
Zn1 0.0000 0.0000 0.5000 1
Ni1 0.0000 0.0000 0.2210 1
H1 0.0000 0.0000 0.3086 1
H2 0.0010 0.3242 0.5573 1
```

Record 16
# Na2TiS, relaxed, DFT PBE
# ΔE_f (raw) = -0.61 eV per formula unit
data_Na2TiS
_chemical_formula_sum 'Na8 Ti4 S4'
_symmetry_space_group_name_H-M 'I -4 2 d'
_symmetry_Int_Tables_number 122
_symmetry_space_group_name_Hall 'I -4 2bw'
_cell_length_a 9.867
_cell_length_b 9.867
_cell_length_c 4.695
_cell_angle_alpha 90.00
_cell_angle_beta 90.00
_cell_angle_gamma 90.00
loop_
_atom_site_label
_atom_site_fract_x
_atom_site_fract_y
_atom_site_fract_z
_atom_site_occupancy
Na1 0.127 0.250 0.125 1
Ti1 0.000 0.000 0.500 1
S1 0.000 0.000 0.000 1

Record 17
# Ac3ZnRh2O9, relaxed, DFT PBE
# ΔE_f (raw) = -31.56 eV per formula unit
data_Ac3ZnRh2O9
_chemical_formula_sum 'Ac3 Zn1 Rh2 O9'
_symmetry_space_group_name_H-M 'P -3 m 1'
_symmetry_Int_Tables_number 164
_symmetry_space_group_name_Hall '-P 3 2"'
_cell_length_a 5.7051
_cell_length_b 5.7051
_cell_length_c 6.9979
_cell_angle_alpha 90.00
_cell_angle_beta 90.00
_cell_angle_gamma 120.00
loop_
_atom_site_label
_atom_site_fract_x
_atom_site_fract_y
_atom_site_fract_z
_atom_site_occupancy
Ac1 0.0000 0.0000 0.0000 1
Ac2 0.3333 0.6667 0.6629 1
Zn1 0.0000 0.0000 0.5000 1
Rh1 0.3333 0.6667 0.1685 1
O1 0.0000 0.5000 0.0000 1
O2 0.1686 0.3372 0.3329 1

Record 18
# Co3NiOs, relaxed, DFT PBE
# Energy above the lowest structure with this stoichiometry = 6.717 kcal/mol of atoms
# ΔH_f (0 K) = 8.66 eV/f.u.
data_Co3NiOs
_chemical_formula_sum 'Co3 Ni1 Os1'
_symmetry_space_group_name_H-M 'P m -3 m'
_symmetry_Int_Tables_number 221
_symmetry_space_group_name_Hall '-P 4 2 3'
_cell_length_a 4.408
_cell_length_b 4.408
_cell_length_c 4.408
_cell_angle_alpha 90.00
_cell_angle_beta 90.00
_cell_angle_gamma 90.00
loop_
_atom_site_label
_atom_site_fract_x
_atom_site_fract_y
_atom_site_fract_z
_atom_site_occupancy
Co1 0.000 0.000 0.500 1
Ni1 0.500 0.500 0.500 1
Os1 0.000 0.000 0.000 1

Record 19
# Pr2TmAs4Pd3, relaxed, DFT PBE
# ΔH_f (0 K) = -9.52 eV/f.u.
data_Pr2TmAs4Pd3
_chemical_formula_sum 'Pr2 Tm1 As4 Pd3'
_symmetry_space_group_name_H-M 'P -4 m 2'
_symmetry_Int_Tables_number 115
_symmetry_space_group_name_Hall 'P -4 -2'
_cell_length_a 4.443
_cell_length_b 4.443
_cell_length_c 10.861
_cell_angle_alpha 90.00
_cell_angle_beta 90.00
_cell_angle_gamma 90.00
loop_
_atom_site_label
_atom_site_fract_x
_atom_site_fract_y
_atom_site_fract_z
_atom_site_occupancy
Pr1 0.000 0.500 0.218 1
Tm1 0.000 0.000 0.500 1
As1 0.000 0.000 0.000 1
As2 0.000 0.500 0.652 1
As3 0.500 0.500 0.000 1
Pd1 0.000 0.500 0.882 1
Pd2 0.500 0.500 0.500 1

Record 20
# Er3AlNi3, relaxed, DFT PBE
# Energy above the lowest structure with this stoichiometry = 7.469 kcal/mol of atoms
# ΔH_f (0 K) = -1.52 eV/f.u.
data_Er3AlNi3
_chemical_formula_sum 'Er6 Al2 Ni6'
_symmetry_space_group_name_H-M 'P 63/m'
_symmetry_Int_Tables_number 176
_symmetry_space_group_name_Hall '-P 6c'
_cell_length_a 8.1684
_cell_length_b 8.1684
_cell_length_c 5.2711
_cell_angle_alpha 90.00
_cell_angle_beta 90.00
_cell_angle_gamma 120.00
loop_
_atom_site_label
_atom_site_fract_x
_atom_site_fract_y
_atom_site_fract_z
_atom_site_occupancy
Er1 0.0368 0.3157 0.2500 1
Al1 0.3333 0.6667 0.7500 1
Ni1 0.0380 0.3886 0.7500 1

Number 1: calculated total energy -0.154 hartree per atom. Number 2: calculated total energy -0.304 hartree per atom. Number 3: calculated total energy -0.116 hartree per atom. Number 4: calculated total energy -0.065 hartree per atom. Number 5: calculated total energy -0.060 hartree per atom. Number 6: calculated total energy -0.227 hartree per atom. Number 7: calculated total energy -0.140 hartree per atom. Number 8: calculated total energy -0.247 hartree per atom. Number 9: calculated total energy -0.119 hartree per atom. Number 10: calculated total energy -0.150 hartree per atom. Number 11: calculated total energy -0.190 hartree per atom. Number 12: calculated total energy -0.193 hartree per atom. Number 13: calculated total energy -0.177 hartree per atom. Number 14: calculated total energy -0.132 hartree per atom. Number 15: calculated total energy -0.137 hartree per atom. Number 16: calculated total energy -0.140 hartree per atom. Number 17: calculated total energy -0.256 hartree per atom. Number 18: calculated total energy -0.218 hartree per atom. Number 19: calculated total energy -0.212 hartree per atom. Number 20: calculated total energy -0.191 hartree per atom.